First-principles (GGA-PBE) data for a geometry-optimized BeTcSbTe2 structure, as listed in Alexandria.

Volume ... 117.9 Å³ per cell
Energy ... -3.911 eV/atom
SG ... P4/mmm
Magnetic moment ... 2.81 μB per formula unit
D(E_F) ... 4.73 states/eV/cell
E_form (uncorrected) ... 0.99 eV per atom
Excess energy over the best structure of this formula in the dataset ... 0.015 eV per atom

a = 4.999 Å, b = 4.999 Å, c = 4.717 Å
α = 90.00°, β = 90.00°, γ = 90.00°
Element x y z (fractional)
Be  0.000  0.000  0.000
Te  0.000  0.500  0.000
Te  0.500  0.000  0.000
Sb  0.000  0.000  0.500
Tc  0.500  0.500  0.500